Material: Ba2CeMnO5
Method: DFT, PBE+U
State: relaxed Values from VASP.

Quantum ESPRESSO input file:
```
&SYSTEM
  ibrav = 0, nat = 18, ntyp = 4
/
ATOMIC_SPECIES
Ce 140.12 Ce.upf
O 16.00 O.upf
Ba 137.33 Ba.upf
Mn 54.94 Mn.upf
CELL_PARAMETERS angstrom
3.673 0.000 0.000
-1.837 7.423 0.000
0.000 0.000 11.783
ATOMIC_POSITIONS angstrom
Ce 1.837 4.315 6.199
Ce 0.000 3.108 0.308
O 1.837 2.820 10.697
O 1.837 3.289 1.748
O 0.000 0.803 0.320
O 0.000 4.134 7.639
O 1.837 0.089 3.346
O 1.837 6.621 6.212
O 0.000 5.246 11.774
O 0.000 4.604 4.805
O 1.837 2.177 5.883
O 0.000 7.334 9.237
Ba 0.000 2.019 3.724
Ba 1.837 6.060 2.031
Ba 0.000 1.364 7.922
Ba 1.837 5.405 9.615
Mn 1.837 0.629 11.110
Mn 0.000 6.795 5.218
```

Its density is 5.682 g cm⁻³. The space-group type is Cmc2_1. The volume comes out at 17.8 Å³/atom. The value obtained for the total DFT energy (no corrections) is -7.297 eV per atom.